A) DFT (PBE) results for a geometry-optimized Al2Fe2Ni structure.

Structure (CIF):
```
data_Al2Fe2Ni
_chemical_formula_sum 'Al4 Fe4 Ni2'
_space_group_name_H-M_alt 'P 4/m b m'
_space_group_IT_number 127
_space_group_name_Hall '-P 4 2ab'
_cell_length_a 6.418
_cell_length_b 6.418
_cell_length_c 3.104
_cell_angle_alpha 90.00
_cell_angle_beta 90.00
_cell_angle_gamma 90.00
loop_
_atom_site_label
_atom_site_type_symbol
_atom_site_fract_x
_atom_site_fract_y
_atom_site_fract_z
_atom_site_occupancy
Al1 Al 0.141 0.359 0.000 1
Fe1 Fe 0.160 0.660 0.500 1
Ni1 Ni 0.000 0.000 0.000 1
```

Output
- Total magnetic moment: 4.2 μB/f.u.

=====

B) DFT (PBE) results for a geometry-optimized Al2Fe2Ni structure.

Structure (CIF):
```
data_Al2Fe2Ni
_chemical_formula_sum 'Al4 Fe4 Ni2'
_space_group_name_H-M_alt 'P 4/m b m'
_space_group_IT_number 127
_space_group_name_Hall '-P 4 2ab'
_cell_length_a 5.943
_cell_length_b 5.943
_cell_length_c 3.664
_cell_angle_alpha 90.00
_cell_angle_beta 90.00
_cell_angle_gamma 90.00
loop_
_atom_site_label
_atom_site_type_symbol
_atom_site_fract_x
_atom_site_fract_y
_atom_site_fract_z
_atom_site_occupancy
Al1 Al 0.173 0.327 0.000 1
Fe1 Fe 0.127 0.627 0.500 1
Ni1 Ni 0.000 0.000 0.500 1
```

Output
- Total magnetic moment: 2.9 μB/f.u.

=====

Which one sits at the top of the stability order? B) does.

=====

A) DFT (PBE) results for a geometry-optimized Al8Fe2Ni structure.

Structure (CIF):
```
data_Al8Fe2Ni
_chemical_formula_sum 'Al16 Fe4 Ni2'
_space_group_name_H-M_alt 'C 1 2/m 1'
_space_group_IT_number 12
_cell_length_a 16.355
_cell_length_b 4.038
_cell_length_c 5.036
_cell_angle_alpha 90.00
_cell_angle_beta 107.51
_cell_angle_gamma 90.00
loop_
_space_group_symop_operation_xyz
'x,y,z'
'-x,-y,-z'
'-x,y,-z'
'x,-y,z'
'x+1/2,y+1/2,z'
'-x+1/2,-y+1/2,-z'
'-x+1/2,y+1/2,-z'
'x+1/2,-y+1/2,z'
loop_
_atom_site_label
_atom_site_type_symbol
_atom_site_fract_x
_atom_site_fract_y
_atom_site_fract_z
_atom_site_occupancy
Al1 Al 0.041 0.000 0.297 1
Al2 Al 0.094 0.500 0.965 1
Al3 Al 0.152 0.500 0.502 1
Al4 Al 0.230 0.000 0.826 1
Fe1 Fe 0.193 0.000 0.289 1
Ni1 Ni 0.000 0.500 0.500 1
```

Output
- Total magnetic moment: 0.2 μB/f.u.

=====

B) DFT (PBE) results for a geometry-optimized Al8Fe2Ni structure.

Structure (CIF):
```
data_Al8Fe2Ni
_chemical_formula_sum 'Al16 Fe4 Ni2'
_space_group_name_H-M_alt 'C 1 2 1'
_space_group_IT_number 5
_cell_length_a 13.392
_cell_length_b 5.127
_cell_length_c 4.578
_cell_angle_alpha 90.00
_cell_angle_beta 92.64
_cell_angle_gamma 90.00
loop_
_space_group_symop_operation_xyz
'x,y,z'
'-x,y,-z'
'x+1/2,y+1/2,z'
'-x+1/2,y+1/2,-z'
loop_
_atom_site_label
_atom_site_type_symbol
_atom_site_fract_x
_atom_site_fract_y
_atom_site_fract_z
_atom_site_occupancy
Al1 Al 0.000 0.000 0.000 1
Al2 Al 0.000 0.286 0.500 1
Al3 Al 0.119 0.595 0.212 1
Al4 Al 0.179 0.863 0.729 1
Al5 Al 0.195 0.351 0.755 1
Fe1 Fe 0.152 0.116 0.256 1
Ni1 Ni 0.000 0.796 0.500 1
```

Output
- Total magnetic moment: 0.0 μB/f.u.

=====

Which one sits at the top of the stability order? A) does.

=====

A) DFT (PBE) results for a geometry-optimized AlFe4Ni structure.

Structure (CIF):
```
data_AlFe4Ni
_chemical_formula_sum 'Al4 Fe16 Ni4'
_space_group_name_H-M_alt 'F -4 3 m'
_space_group_IT_number 216
_space_group_name_Hall 'F -4 2 3'
_cell_length_a 6.590
_cell_length_b 6.590
_cell_length_c 6.590
_cell_angle_alpha 90.00
_cell_angle_beta 90.00
_cell_angle_gamma 90.00
loop_
_atom_site_label
_atom_site_type_symbol
_atom_site_fract_x
_atom_site_fract_y
_atom_site_fract_z
_atom_site_occupancy
Al1 Al 0.000 0.000 0.000 1
Fe1 Fe 0.125 0.125 0.625 1
Ni1 Ni 0.250 0.250 0.250 1
```

Output
- Total magnetic moment: 7.4 μB/f.u.

=====

B) DFT (PBE) results for a geometry-optimized AlFe4Ni structure.

Structure (CIF):
```
data_AlFe4Ni
_chemical_formula_sum 'Al1 Fe4 Ni1'
_space_group_name_H-M_alt 'P 4/m m m'
_space_group_IT_number 123
_space_group_name_Hall '-P 4 2'
_cell_length_a 2.921
_cell_length_b 2.921
_cell_length_c 8.319
_cell_angle_alpha 90.00
_cell_angle_beta 90.00
_cell_angle_gamma 90.00
loop_
_atom_site_label
_atom_site_type_symbol
_atom_site_fract_x
_atom_site_fract_y
_atom_site_fract_z
_atom_site_occupancy
Al1 Al 0.000 0.000 0.000 1
Fe1 Fe 0.000 0.000 0.330 1
Fe2 Fe 0.500 0.500 0.175 1
Ni1 Ni 0.500 0.500 0.500 1
```

Output
- Total magnetic moment: 9.6 μB/f.u.

=====

Which one sits at the top of the stability order? B) does.